No. 1
# Ho2TiO

An optimized crystal structure of Ho2TiO (GGA-PBE, the Alexandria database).

Cell: 3.3128 3.3128 25.8431 Å, 90.00 90.00 120.00°
Last column: nearest neighbours and their distance in Å.
Space group R-3m (No. 166, hexagonal axes)
Unique sites:
Ho (0.0000, 0.0000, 0.1126)  3 O 2.37
Ti (0.0000, 0.0000, 0.0000)  2 Ho 2.91
O (0.0000, 0.0000, 0.5000)  6 Ho 2.37

* uncorrected energy: -77.806 eV for the cell shown
* theoretical density: 7.986 g/cm³
* formation energy without anion corrections: -982 meV per atom



No. 2
# HoTi2O4

An optimized crystal structure of HoTi2O4 (GGA-PBE, the Alexandria database).

Cell: 3.1352 9.7263 10.2091 Å, 90.00 90.00 90.00°
Last column: nearest neighbours and their distance in Å.
Space group Cmcm (No. 63)
Unique sites:
Ho (0.0000, 0.1267, 0.2500)  6 O 2.27-2.33
Ti (0.0000, 0.3817, 0.0600)  6 O 2.04-2.22
O (0.0000, 0.0000, 0.0000)  4 Ti 2.04
O (0.0000, 0.2690, 0.6141)  3 Ti 2.09-2.22, 2 Ho 2.33
O (0.0000, 0.4582, 0.2500)  2 Ti 2.08, 2 Ho 2.27

* uncorrected energy: -242.992 eV for the cell shown
* theoretical density: 6.927 g/cm³
* formation energy without anion corrections: -2935 meV per atom



No. 3
# Ho3TiTl3O8

An optimized crystal structure of Ho3TiTl3O8 (GGA-PBE, the Alexandria database).

Cell: 6.7317 6.7317 19.6431 Å, 90.00 90.00 120.00°
Last column: nearest neighbours and their distance in Å.
Space group R-3m (No. 166, hexagonal axes)
Unique sites:
Ho (0.0000, 0.5000, 0.0000)  6 O 2.23-2.30
Ti (0.0000, 0.0000, 0.0000)  6 O 2.04
Tl (0.0000, 0.5000, 0.5000)  6 O 2.89-2.91
O (0.0000, 0.0000, 0.2773)  3 Ho 2.23
O (0.0329, 0.5165, 0.7202)  1 Ti 2.04

* uncorrected energy: -317.608 eV for the cell shown
* theoretical density: 8.296 g/cm³
* formation energy without anion corrections: -2498 meV per atom



No. 4
# HoTi2ZnO6

An optimized crystal structure of HoTi2ZnO6 (GGA-PBE, the Alexandria database).

Cell: 7.6266 5.6176 5.2897 Å, 90.00 90.00 90.00°
Last column: nearest neighbours and their distance in Å.
Space group Pmn2_1 (No. 31)
Unique sites:
Ho (0.0000, 0.1704, 0.0000)  6 O 2.26-2.44
Ti (0.2490, 0.2806, 0.4861)  5 O 1.89-2.06
Zn (0.0000, 0.8193, 0.4945)  3 O 1.94-2.00
O (0.0000, 0.2662, 0.5848)  2 Ti 1.97
O (0.0000, 0.7814, 0.8584)  1 Zn 1.94, 2 Ti 2.06
O (0.1935, 0.4361, 0.1613)  2 Ti 1.89-1.97
O (0.1938, 0.9462, 0.2798)  1 Zn 2.00, 2 Ti 2.06-2.21

* uncorrected energy: -158.427 eV for the cell shown
* theoretical density: 6.185 g/cm³
* formation energy without anion corrections: -2782 meV per atom



No. 5
# HoZrTi2O8

An optimized crystal structure of HoZrTi2O8 (GGA-PBE, the Alexandria database).

Cell: 5.0909 5.0909 10.7985 Å, 90.00 90.00 90.00°
Last column: nearest neighbours and their distance in Å.
Space group I-4 (No. 82)
Unique sites:
Ho (0.0000, 0.0000, 0.0000)  8 O 2.31-2.36
Zr (0.0000, 0.5000, 0.7500)  8 O 2.21-2.27
Ti (0.0000, 0.0000, 0.5000)  4 O 1.85
Ti (0.0000, 0.5000, 0.2500)  4 O 1.86
O (0.1654, 0.2613, 0.5907)  1 Ti 1.85
O (0.1828, 0.7619, 0.1671)  1 Ti 1.86

* uncorrected energy: -210.090 eV for the cell shown
* theoretical density: 5.695 g/cm³
* formation energy without anion corrections: -3039 meV per atom



No. 6
# Ho2TlO

An optimized crystal structure of Ho2TlO (GGA-PBE, the Alexandria database).

Cell: 6.3766 6.3767 8.7404 Å, 90.00 90.15 90.00°
Last column: nearest neighbours and their distance in Å.
Space group C2/m (No. 12)
Unique sites:
Ho (0.0000, 0.2500, 0.0000)  4 O 2.33-2.34
Ho (0.2491, 0.0000, 0.6708)  1 O 2.27
Tl (0.2490, 0.5000, 0.6977)  9 Ho 3.20-3.47, 1 O 3.25
O (0.2496, 0.0000, 0.9304)  5 Ho 2.27-2.34

* uncorrected energy: -91.737 eV for the cell shown
* energy above the most stable polymorph in this dataset: 0 meV/atom
* theoretical density: 10.284 g/cm³
* formation energy without anion corrections: -1614 meV per atom



No. 7
# Ho2TlO

An optimized crystal structure of Ho2TlO (GGA-PBE, the Alexandria database).

Cell: 3.1277 3.1277 7.8857 Å, 90.00 90.00 90.00°
Last column: nearest neighbours and their distance in Å.
Space group P4/mmm (No. 123)
Unique sites:
Ho (0.0000, 0.0000, 0.1957)  4 O 2.70
Tl (0.5000, 0.5000, 0.5000)  4 Tl 3.13, 8 Ho 3.26
O (0.5000, 0.5000, 0.0000)  8 Ho 2.70

* uncorrected energy: -20.531 eV for the cell shown
* energy above the most stable polymorph in this dataset: 601 meV/atom
* theoretical density: 11.845 g/cm³
* formation energy without anion corrections: -1013 meV per atom



No. 8
# Ho3TlO6

An optimized crystal structure of Ho3TlO6 (GGA-PBE, the Alexandria database).

Cell: 9.6395 9.6395 11.2864 Å, 90.00 90.00 120.00°
Last column: nearest neighbours and their distance in Å.
Space group R-3 (No. 148, hexagonal axes)
Unique sites:
Ho (0.0400, 0.7749, 0.2079)  6 O 2.22-2.37
Tl (0.0000, 0.0000, 0.0000)  6 O 2.27
Tl (0.0000, 0.0000, 0.5000)  6 O 2.32
O (0.0250, 0.8020, 0.4021)  3 Ho 2.22-2.37, 1 Tl 2.32
O (0.0287, 0.8399, 0.8661)  3 Ho 2.27-2.29, 1 Tl 2.27

* uncorrected energy: -445.999 eV for the cell shown
* energy above the most stable polymorph in this dataset: 0 meV/atom
* theoretical density: 8.723 g/cm³
* formation energy without anion corrections: -2848 meV per atom



No. 9
# Ho4Tl2O

An optimized crystal structure of Ho4Tl2O (GGA-PBE, the Alexandria database).

Cell: 4.6142 4.6142 16.3748 Å, 90.00 90.00 90.00°
Last column: nearest neighbours and their distance in Å.
Space group I4/mmm (No. 139)
Unique sites:
Ho (0.0000, 0.0000, 0.1708)  1 O 2.80, 1 Tl 3.11
Ho (0.0000, 0.5000, 0.0000)  2 O 2.31
Tl (0.0000, 0.0000, 0.3605)  9 Ho 3.11-3.30
O (0.0000, 0.0000, 0.0000)  4 Ho 2.31

* uncorrected energy: -70.744 eV for the cell shown
* energy above the most stable polymorph in this dataset: 14 meV/atom
* theoretical density: 10.331 g/cm³
* formation energy without anion corrections: -1053 meV per atom



No. 10
# Ho7Tl4O

An optimized crystal structure of Ho7Tl4O (GGA-PBE, the Alexandria database).

Cell: 16.5663 4.9449 10.9142 Å, 90.00 129.33 90.00°
Last column: nearest neighbours and their distance in Å.
Space group C2/m (No. 12)
Unique sites:
Ho (0.0000, 0.0000, 0.0000)  2 O 2.47
Ho (0.0598, 0.5000, 0.2448)  1 O 2.18
Ho (0.1286, 0.0000, 0.5494)  5 Tl 3.11-3.29
Ho (0.2127, 0.5000, 0.8506)  4 Tl 3.08-3.14
Tl (0.0819, 0.0000, 0.7953)  8 Ho 3.08-3.27
Tl (0.2231, 0.0000, 0.3600)  8 Ho 3.08-3.45
O (0.0000, 0.5000, 0.0000)  2 Ho 2.18

* uncorrected energy: -106.077 eV for the cell shown
* theoretical density: 9.547 g/cm³
* formation energy without anion corrections: -548 meV per atom



No. 11
# Ho2TlO

An optimized crystal structure of Ho2TlO (GGA-PBE, the Alexandria database).

Cell: 3.6071 6.3476 8.1739 Å, 90.00 90.04 90.00°
Last column: nearest neighbours and their distance in Å.
Space group P2_1 (No. 4)
Unique sites:
Ho (0.2479, 0.0000, 0.1194)  1 O 2.21
Ho (0.2507, 0.7420, 0.5401)  3 O 2.24-2.31
Tl (0.2541, 0.5078, 0.1976)  7 Ho 3.15-3.29, 1 O 3.38
O (0.2482, 0.0357, 0.3885)  4 Ho 2.21-2.31

* uncorrected energy: -45.676 eV for the cell shown
* energy above the most stable polymorph in this dataset: 24 meV/atom
* theoretical density: 9.764 g/cm³
* formation energy without anion corrections: -1589 meV per atom



No. 12
# HoTlO3

An optimized crystal structure of HoTlO3 (GGA-PBE, the Alexandria database).

Cell: 5.5581 3.7339 8.0469 Å, 90.00 97.78 90.00°
Last column: nearest neighbours and their distance in Å.
Space group P2_1/m (No. 11)
Unique sites:
Ho (0.2373, 0.2500, 0.3999)  6 O 2.24-2.42
Tl (0.3593, 0.2500, 0.8413)  5 O 2.18-2.35
O (0.0420, 0.2500, 0.6463)  1 Tl 2.20, 3 Ho 2.39-2.42
O (0.3837, 0.2500, 0.1139)  3 Tl 2.18-2.35
O (0.4595, 0.7500, 0.3860)  1 Tl 2.20, 3 Ho 2.24-2.25

* uncorrected energy: -64.171 eV for the cell shown
* theoretical density: 8.376 g/cm³
* formation energy without anion corrections: -2053 meV per atom



No. 13
# Ho6Tl3O

An optimized crystal structure of Ho6Tl3O (GGA-PBE, the Alexandria database).

Cell: 11.5251 17.0570 5.3017 Å, 90.00 90.00 90.00°
Last column: nearest neighbours and their distance in Å.
Space group Cmc2_1 (No. 36)
Unique sites:
Ho (0.0000, 0.0873, 0.0000)  1 O 2.18
Ho (0.0000, 0.2339, 0.4826)  1 O 2.40
Ho (0.1669, 0.4160, 0.4989)  6 Tl 3.27-3.38, 3 Ho 3.59-3.66
Ho (0.1705, 0.2728, 0.9939)  1 O 2.21
Tl (0.0000, 0.4231, 0.0005)  8 Ho 3.23-3.35, 1 O 3.56
Tl (0.1630, 0.0778, 0.5023)  8 Ho 3.19-3.39
O (0.0000, 0.2146, 0.0334)  4 Ho 2.18-2.40

* uncorrected energy: -190.024 eV for the cell shown
* theoretical density: 10.316 g/cm³
* formation energy without anion corrections: -798 meV per atom



No. 14
# Ho4TlO

An optimized crystal structure of Ho4TlO (GGA-PBE, the Alexandria database).

Cell: 15.5971 5.5584 7.1190 Å, 90.00 107.58 90.00°
Last column: nearest neighbours and their distance in Å.
Space group C2/c (No. 15)
Unique sites:
Ho (0.1124, 0.0093, 0.4179)  1 O 2.45
Ho (0.1928, 0.4914, 0.2027)  2 O 2.39-2.44
Tl (0.0000, 0.4889, 0.7500)  6 Ho 3.13-3.32
O (0.2500, 0.2500, 0.5000)  6 Ho 2.39-2.45

* uncorrected energy: -127.787 eV for the cell shown
* theoretical density: 9.936 g/cm³
* formation energy without anion corrections: -1052 meV per atom



No. 15
# Ho3Tl2O

An optimized crystal structure of Ho3Tl2O (GGA-PBE, the Alexandria database).

Cell: 13.8236 6.3989 6.8760 Å, 90.00 99.05 90.00°
Last column: nearest neighbours and their distance in Å.
Space group C2/c (No. 15)
Unique sites:
Ho (0.0000, 0.0917, 0.2500)  1 O 2.18
Ho (0.1197, 0.4122, 0.6395)  1 O 2.17
Tl (0.1845, 0.0637, 0.0384)  1 Tl 3.09, 5 Ho 3.13-3.29
O (0.0000, 0.4322, 0.2500)  3 Ho 2.17-2.18

* uncorrected energy: -120.004 eV for the cell shown
* theoretical density: 10.169 g/cm³
* formation energy without anion corrections: -1096 meV per atom



No. 16
# Ho6Tl5O

An optimized crystal structure of Ho6Tl5O (GGA-PBE, the Alexandria database).

Cell: 8.2951 11.5558 6.7145 Å, 90.00 103.98 90.00°
Last column: nearest neighbours and their distance in Å.
Space group C2/m (No. 12)
Unique sites:
Ho (0.1773, 0.0000, 0.2013)  1 O 2.76
Ho (0.1882, 0.1445, 0.6859)  1 O 2.42
Tl (0.0000, 0.2311, 0.0000)  6 Ho 3.08-3.25, 1 Tl 3.11
Tl (0.0000, 0.3702, 0.5000)  1 Tl 3.00, 6 Ho 3.14-3.29
Tl (0.0000, 0.5000, 0.0000)  2 Tl 3.11, 6 Ho 3.28-3.36
O (0.0000, 0.0000, 0.5000)  4 Ho 2.42

* uncorrected energy: -103.561 eV for the cell shown
* theoretical density: 10.781 g/cm³
* formation energy without anion corrections: -627 meV per atom



No. 17
# HoTlO

An optimized crystal structure of HoTlO (GGA-PBE, the Alexandria database).

Cell: 11.2504 11.2504 11.2504 Å, 90.00 90.00 90.00°
Last column: nearest neighbours and their distance in Å.
Space group F-43m (No. 216)
Unique sites:
Ho (0.1028, 0.1028, 0.1028)  3 O 2.16
Tl (0.0993, 0.0993, 0.4007)  3 Tl 3.16, 3 Ho 3.35
O (0.0876, 0.0876, 0.9124)  3 Ho 2.16

* uncorrected energy: -266.541 eV for the cell shown
* energy above the most stable polymorph in this dataset: 205 meV/atom
* theoretical density: 7.189 g/cm³
* formation energy without anion corrections: -1586 meV per atom



No. 18
# Ho5Tl4O

An optimized crystal structure of Ho5Tl4O (GGA-PBE, the Alexandria database).

Cell: 9.3908 9.3908 5.8515 Å, 90.00 90.00 90.00°
Last column: nearest neighbours and their distance in Å.
Space group I4 (No. 79)
Unique sites:
Ho (0.0000, 0.0000, 0.0000)  1 O 2.36
Ho (0.1233, 0.7775, 0.5386)  1 O 2.41
Tl (0.0490, 0.6632, 0.0397)  6 Ho 3.09-3.44, 1 Tl 3.20
O (0.0000, 0.0000, 0.5961)  5 Ho 2.36-2.41

* uncorrected energy: -87.691 eV for the cell shown
* theoretical density: 10.672 g/cm³
* formation energy without anion corrections: -653 meV per atom



No. 19
# Ho3Tl2O2

An optimized crystal structure of Ho3Tl2O2 (GGA-PBE, the Alexandria database).

Cell: 12.3533 3.8584 7.8212 Å, 90.00 119.76 90.00°
Last column: nearest neighbours and their distance in Å.
Space group C2/m (No. 12)
Unique sites:
Ho (0.0000, 0.0000, 0.0000)  2 O 2.26
Ho (0.1635, 0.5000, 0.7914)  3 O 2.21-2.28
Tl (0.1432, 0.5000, 0.3673)  2 Tl 3.09, 4 Ho 3.17-3.35
O (0.1521, 0.0000, 0.9189)  4 Ho 2.21-2.28

* uncorrected energy: -82.180 eV for the cell shown
* theoretical density: 9.601 g/cm³
* formation energy without anion corrections: -1815 meV per atom



No. 20
# Ho2TlO

An optimized crystal structure of Ho2TlO (GGA-PBE, the Alexandria database).

Cell: 5.0433 5.0433 19.4813 Å, 90.00 90.00 120.00°
Last column: nearest neighbours and their distance in Å.
Space group R-3m (No. 166, hexagonal axes)
Unique sites:
Ho (0.0000, 0.0000, 0.1031)  1 O 2.01
Tl (0.0000, 0.0000, 0.5000)  6 Ho 3.16
O (0.0000, 0.0000, 0.0000)  2 Ho 2.01

* uncorrected energy: -63.386 eV for the cell shown
* energy above the most stable polymorph in this dataset: 451 meV/atom
* theoretical density: 6.388 g/cm³
* formation energy without anion corrections: -1162 meV per atom